A PBEsol-optimized structure of Zr2ScMn. Source: Alexandria, functional SCAN.

SG	F-43m, No. 216
formation energy	32	kJ/mol of formula units
E_tot	-23.390	eV/atom
crystal system	cubic
density	6.14	g/cm³

Unit cell a=4.762 b=4.762 c=4.762 alpha=60.00 beta=60.00 gamma=60.00
Element x y z (fractional)
Zr 0.000 0.000 0.000
Zr 0.250 0.250 0.250
Sc 0.500 0.500 0.500
Mn 0.750 0.750 0.750